First-principles (PBE) data for an optimized crystal structure of FePt5Rh, as listed in Alexandria.

```
FePt5Rh
1.0
4.748 0.000 0.000
0.202 7.155 0.000
1.660 2.103 6.709
Fe Pt Rh
2 10 2
direct
0.000 0.000 0.000
0.500 0.000 0.500
0.078 0.116 0.310
0.129 0.240 0.636
0.198 0.363 0.937
0.315 0.632 0.555
0.369 0.772 0.879
0.631 0.228 0.121
0.685 0.368 0.445
0.802 0.637 0.063
0.871 0.760 0.364
0.922 0.884 0.690
0.252 0.501 0.248
0.748 0.499 0.752
```

Summary:
The total magnetization comes out at 3.65 μB/f.u. Its formation energy is 0.041 eV/atom. The value obtained for the calculated total energy is -91.5 eV per cell. As for the symmetry: P-1, No. 2. The polymorph energy (0 for the lowest one) is 0 meV/atom. The value obtained for the density of states at the Fermi level is 1.174 states/eV/atom.